[1]
Density functional theory data (PBE) for a relaxed FeBr3 crystal.

POSCAR file:
```
FeBr3
1.0
-7.003 -0.734 2.714
-3.677 -6.043 2.630
-2.468 -1.656 6.937
Fe Br
2 6
Direct
0.333 0.333 0.333
0.667 0.667 0.667
0.436 0.702 0.069
0.702 0.069 0.436
0.069 0.436 0.702
0.564 0.298 0.931
0.298 0.931 0.564
0.931 0.564 0.298
```

Properties
As for the energy relative to the elements, uncorrected: -0.32 eV/atom. The space-group type is R-3, No. 148. As for the crystal system: trigonal.

=====

[2]
Density functional theory data (PBE) for a relaxed Na5Pb3I12 crystal.

POSCAR file:
```
Na5Pb3I12
1.0
16.349 0.000 0.000
-5.450 15.414 0.000
-5.450 -7.707 13.349
Pb Na I
12 20 48
Direct
0.750 0.375 0.125
0.875 0.750 0.125
0.375 0.750 0.625
0.250 0.125 0.375
0.875 0.125 0.250
0.375 0.625 0.250
0.625 0.375 0.750
0.125 0.875 0.750
0.750 0.875 0.625
0.625 0.250 0.375
0.125 0.250 0.875
0.250 0.625 0.875
0.125 0.375 0.250
0.000 0.500 0.000
0.000 0.000 0.000
0.375 0.250 0.125
0.500 0.000 0.500
0.500 0.500 0.000
0.125 0.750 0.375
0.750 0.125 0.875
0.750 0.625 0.375
0.375 0.125 0.750
0.625 0.875 0.250
0.500 0.500 0.500
0.500 0.000 0.000
0.000 0.000 0.500
0.250 0.375 0.625
0.250 0.875 0.125
0.000 0.500 0.500
0.875 0.250 0.625
0.625 0.750 0.875
0.875 0.625 0.750
0.724 0.130 0.049
0.324 0.549 0.419
0.951 0.370 0.276
0.549 0.224 0.130
0.594 0.724 0.676
0.951 0.581 0.176
0.324 0.776 0.406
0.081 0.906 0.130
0.581 0.951 0.676
0.724 0.594 0.176
0.776 0.451 0.370
0.824 0.919 0.049
0.130 0.724 0.549
0.370 0.419 0.094
0.094 0.919 0.370
0.406 0.130 0.581
0.094 0.176 0.224
0.451 0.676 0.081
0.824 0.906 0.276
0.130 0.406 0.081
0.370 0.951 0.776
0.581 0.630 0.406
0.919 0.824 0.549
0.776 0.324 0.906
0.419 0.370 0.594
0.081 0.176 0.451
0.224 0.676 0.094
0.176 0.094 0.724
0.630 0.049 0.224
0.870 0.594 0.919
0.549 0.324 0.919
0.594 0.870 0.419
0.906 0.824 0.776
0.906 0.081 0.630
0.870 0.276 0.451
0.176 0.081 0.951
0.630 0.581 0.906
0.419 0.049 0.324
0.276 0.406 0.824
0.224 0.549 0.630
0.919 0.094 0.870
0.676 0.224 0.594
0.451 0.776 0.870
0.049 0.419 0.824
0.406 0.276 0.324
0.049 0.630 0.724
0.676 0.451 0.581
0.276 0.870 0.951
```

Properties
As for the energy relative to the elements, uncorrected: -0.77 eV/atom. The space-group type is Ia-3d, No. 230. As for the crystal system: cubic.

=====

[3]
Density functional theory data (PBE) for a relaxed BaCeI5 crystal.

POSCAR file:
```
BaCeI5
1.0
6.197 -0.047 1.762
0.573 7.943 0.163
0.037 -0.023 11.647
Ba Ce I
2 2 10
Direct
0.326 0.250 0.347
0.674 0.750 0.653
0.078 0.250 0.844
0.922 0.750 0.156
0.211 0.398 0.069
0.196 0.505 0.615
0.371 0.750 0.259
0.189 0.995 0.615
0.281 0.898 0.931
0.719 0.102 0.069
0.811 0.005 0.385
0.629 0.250 0.741
0.804 0.495 0.385
0.789 0.602 0.931
```

Properties
As for the energy relative to the elements, uncorrected: -1.49 eV/atom. The space-group type is C2/c, No. 15. As for the crystal system: monoclinic.

=====

[4]
Density functional theory data (PBE) for a relaxed AlRuW2 crystal.

POSCAR file:
```
AlRuW2
1.0
-1.006 0.136 2.600
-3.842 -0.191 -1.477
0.135 -5.251 0.327
Ru Al W
1 1 2
Direct
0.500 0.500 0.750
0.500 0.500 0.250
0.000 0.000 0.003
0.000 0.000 0.497
```

Properties
The space-group type is Pmmm, No. 47. As for the crystal system: orthorhombic. The value obtained for the formation energy is -6.1 kJ/mol of atoms.

=====

[5]
Density functional theory data (PBE) for a relaxed AcY3Ho12 crystal.

POSCAR file:
```
AcY3Ho12
1.0
-4.328 1.350 -2.199
1.344 -2.487 -4.171
-8.822 -16.697 7.114
Ac Y Ho
1 3 12
Direct
0.000 0.000 0.000
0.000 0.000 0.253
0.000 0.000 0.500
0.000 0.000 0.747
0.500 0.500 0.000
0.500 0.500 0.254
0.500 0.500 0.500
0.500 0.500 0.746
0.500 0.000 0.131
0.500 0.000 0.377
0.500 0.000 0.623
0.500 0.000 0.869
0.000 0.500 0.131
0.000 0.500 0.377
0.000 0.500 0.623
0.000 0.500 0.869
```

Properties
The space-group type is P4/mmm, No. 123. As for the crystal system: tetragonal. The value obtained for the formation energy is 3.4 kJ/mol of atoms.

=====

[6]
Density functional theory data (PBE) for a relaxed AcMg3Hg crystal.

POSCAR file:
```
AcMg3Hg
1.0
0.153 4.608 -0.383
-1.660 0.413 4.299
5.355 2.487 4.302
Ac Mg Hg
1 3 1
Direct
0.607 0.607 0.786
0.346 0.845 0.308
0.845 0.346 0.308
0.994 0.994 0.013
0.209 0.209 0.582
```

Properties
The value obtained for the energy above the most stable polymorph in this dataset is 0.0 meV per atom. The space-group type is Cm, No. 8. As for the crystal system: monoclinic. The value obtained for the formation energy is -20.3 kJ/mol of atoms.

=====

[7]
Density functional theory data (PBE) for a relaxed CsHfZn2Bi crystal.

POSCAR file:
```
CsHfZn2Bi
1.0
5.601 0.000 0.000
0.000 5.647 0.000
0.000 0.000 5.601
Cs Zn Hf Bi
1 2 1 1
Direct
0.500 0.500 0.500
0.000 0.000 0.500
0.500 0.000 0.000
0.000 0.000 0.000
0.000 0.500 0.000
```

Properties
The space-group type is P4/mmm, No. 123. As for the crystal system: tetragonal. The value obtained for the formation energy is 19.7 kJ/mol of atoms.

=====

[8]
Density functional theory data (PBE) for a relaxed SbMoRu crystal.

POSCAR file:
```
SbMoRu
1.0
5.986 -0.009 0.009
5.227 2.919 0.008
0.760 0.199 2.921
Mo Ru Sb
1 1 1
Direct
0.988 0.988 0.012
0.343 0.343 0.657
0.669 0.669 0.331
```

Properties
As for the energy relative to the elements, uncorrected: 0.19 eV/atom. The value obtained for the energy above the most stable polymorph in this dataset is 173.7 meV per atom. The space-group type is I4mm, No. 107. As for the crystal system: tetragonal.

=====

[9]
Density functional theory data (PBE) for a relaxed Ac2Nd5Sm12 crystal.

POSCAR file:
```
Ac2Nd5Sm12
1.0
5.124 -4.625 10.828
11.340 -4.811 3.624
6.368 2.966 5.419
Ac Nd Sm
2 5 12
Direct
0.689 0.311 0.000
0.311 0.689 0.000
0.300 0.300 0.388
0.231 0.231 0.115
0.000 0.000 0.500
0.769 0.769 0.885
0.700 0.700 0.612
0.094 0.094 0.693
0.022 0.664 0.068
0.664 0.022 0.068
0.187 0.566 0.596
0.566 0.187 0.596
0.562 0.562 0.209
0.438 0.438 0.791
0.813 0.434 0.404
0.434 0.813 0.404
0.978 0.336 0.932
0.336 0.978 0.932
0.906 0.906 0.307
```

Properties
The value obtained for the energy above the most stable polymorph in this dataset is 40.6 meV per atom. The space-group type is C2/m, No. 12. As for the crystal system: monoclinic. The value obtained for the formation energy is 14.2 kJ/mol of atoms.

=====

[10]
Density functional theory data (PBE) for a relaxed Y6TlAg5 crystal.

POSCAR file:
```
Y6TlAg5
1.0
4.909 -0.029 1.637
0.040 7.415 0.013
0.003 -0.015 8.180
Y Tl Ag
6 1 5
Direct
0.831 0.746 0.338
0.831 0.254 0.338
0.500 0.258 0.000
0.500 0.742 0.000
0.169 0.746 0.662
0.169 0.254 0.662
0.000 0.000 0.000
0.666 0.500 0.668
0.335 0.000 0.330
0.000 0.500 0.000
0.665 0.000 0.670
0.334 0.500 0.332
```

Properties
The space-group type is Cmmm, No. 65. As for the crystal system: orthorhombic. The value obtained for the formation energy is -32.6 kJ/mol of atoms.

=====

[11]
Density functional theory data (PBE) for a relaxed CuW3N crystal.

POSCAR file:
```
CuW3N
1.0
4.093 0.000 0.000
0.000 4.093 0.000
0.000 0.000 4.093
Cu W N
1 3 1
Direct
0.500 0.500 0.500
0.000 0.500 0.000
0.000 0.000 0.500
0.500 0.000 0.000
0.000 0.000 0.000
```

Properties
As for the energy relative to the elements, uncorrected: 0.21 eV/atom. The value obtained for the energy above the most stable polymorph in this dataset is 0.0 meV per atom. The space-group type is Pm-3m, No. 221. As for the crystal system: cubic.

=====

[12]
Density functional theory data (PBE) for a relaxed PaMnH3 crystal.

POSCAR file:
```
PaMnH3
1.0
4.891 0.000 0.000
0.000 6.055 0.598
0.000 -1.282 6.353
Pa Mn H
4 4 12
Direct
0.709 0.720 0.473
0.291 0.280 0.527
0.209 0.780 0.027
0.791 0.220 0.973
0.358 0.313 0.001
0.642 0.687 0.999
0.858 0.187 0.499
0.142 0.813 0.501
0.202 0.177 0.174
0.798 0.823 0.826
0.702 0.323 0.326
0.298 0.677 0.674
0.263 0.605 0.343
0.737 0.395 0.657
0.763 0.895 0.157
0.237 0.105 0.843
0.644 0.058 0.649
0.356 0.942 0.351
0.144 0.442 0.851
0.856 0.558 0.149
```

Properties
The value obtained for the energy above the most stable polymorph in this dataset is 0.0 meV per atom. The space-group type is P2_1/c, No. 14. As for the crystal system: monoclinic.

=====

no.,magnetization (μB per atom),total DFT energy (no corrections) (eV/atom)
1,0.25,-3.687
2,0.00,-2.586
3,0.14,-3.717
4,0.00,-9.795
5,0.00,-4.867
6,0.00,-2.049
7,0.00,-3.243
8,0.00,-7.883
9,0.00,-4.521
10,0.00,-4.955
11,0.00,-10.041
12,0.00,-5.967